Os2WO after structural relaxation. Source: Alexandria, functional PBE+U.

Cell and atoms, written as POSCAR:
```
Os2WO
1.0
-2.484 2.484 5.461
2.484 -2.484 5.461
2.484 2.484 -5.461
Os W O
4 2 2
direct
0.031 0.625 0.906
0.375 0.281 0.406
0.719 0.125 0.094
0.875 0.969 0.594
0.250 0.750 0.500
0.500 0.500 0.000
0.000 0.000 0.000
0.750 0.250 0.500
```

Final energy in eV/atom: -7.81
Crystal system: tetragonal
Theoretical density in Mg/m³: 14.30
Magnetization in μB/cell: 0.00